This record from Alexandria via LeMat-Bulk describes an optimized crystal structure of MoO5. The functional is GGA+U.

E above lowest polymorph ... 613 meV per atom
Symmetry ... No. 10

Lattice parameters (Å, degrees): 6.0836 4.0079 8.2042 100.89 90.00 90.00
With the nearest neighbours (Å) after each atom.
Element x y z (fractional)
Mo1 0.0000 0.0315 0.2358  4 O 1.81-1.91
Mo2 0.0000 0.9685 0.7642  4 O 1.81-1.91
O1 0.0000 0.0000 0.0000  2 Mo 1.91
O2 0.0000 0.0000 0.5000  2 Mo 2.19, 4 O 2.36
O3 0.5000 0.5000 0.0000  16 O 3.49-3.66
O4 0.5000 0.5000 0.5000  4 O 2.28
O5 0.0000 0.5715 0.2117  1 Mo 1.82
O6 0.0000 0.4285 0.7883  1 Mo 1.82
O7 0.7324 0.1631 0.3222  1 Mo 1.81
O8 0.2676 0.1631 0.3222  1 Mo 1.81
O9 0.2676 0.8369 0.6778  1 Mo 1.81
O10 0.7324 0.8369 0.6778  1 Mo 1.81